[1]
Hf2Sc2Al: optimized geometry, GGA-PBE.

The structure belongs to space group C2/m (No. 12); the cell edges are 8.3194, 5.6976 and 5.1426 Å and the angles 90.00°, 107.71° and 90.00°. Symmetry generates all atoms from Hf at (0.0000, 0.2488, 0.0000), Sc at (0.1770, 0.0000, 0.5834) and Al at (0.0000, 0.5000, 0.5000).

The calculation puts the energy above the most stable polymorph in this dataset at 365 meV per atom. Its crystal system is monoclinic. The calculation puts the total magnetization at 0.0 μB/f.u. The value obtained for the density of states at the Fermi level is 9.7 states/eV per cell. For the volume, the calculation gives 232.2 Å³/cell.

---

[2]
BaSr2P2: optimized geometry, GGA-PBE.

The structure belongs to space group I4/mmm (No. 139); the cell edges are 4.9054, 4.9054 and 14.4813 Å and the angles 90.00°, 90.00° and 90.00°. Symmetry generates all atoms from Ba at (0.0000, 0.0000, 0.0000), Sr at (0.0000, 0.5000, 0.2500) and P at (0.0000, 0.0000, 0.3699).

The calculation puts the energy above the most stable polymorph in this dataset at 298 meV per atom. Its crystal system is tetragonal. The calculation puts the total magnetization at 0.0 μB/f.u. The value obtained for the density of states at the Fermi level is 0.0 states/eV per cell. For the volume, the calculation gives 348.5 Å³/cell.

---

[3]
Be2InOs: optimized geometry, GGA-PBE.

The structure belongs to space group F-43m (No. 216); the cell edges are 6.0494, 6.0494 and 6.0494 Å and the angles 90.00°, 90.00° and 90.00°. Symmetry generates all atoms from Be at (0.0000, 0.0000, 0.0000), Be at (0.2500, 0.2500, 0.2500), In at (0.2500, 0.2500, 0.7500) and Os at (0.0000, 0.0000, 0.5000).

Its crystal system is cubic. The calculation puts the total magnetization at 0.0 μB/f.u. The value obtained for the uncorrected energy is -4.82 eV/atom. The value obtained for the density of states at the Fermi level is 6.9 states/eV per cell. For the volume, the calculation gives 221.4 Å³/cell.

---

[4]
LuZn5: optimized geometry, GGA-PBE.

The structure belongs to space group Cmmm (No. 65); the cell edges are 4.1765, 11.4984 and 4.2835 Å and the angles 90.00°, 90.00° and 90.00°. Symmetry generates all atoms from Lu at (0.0000, 0.0000, 0.0000), Zn at (0.0000, 0.1714, 0.5000), Zn at (0.0000, 0.3173, 0.0000) and Zn at (0.0000, 0.5000, 0.5000).

Its crystal system is orthorhombic. The calculation puts the total magnetization at 0.0 μB/f.u. The value obtained for the uncorrected energy is -1.98 eV/atom. The value obtained for the density of states at the Fermi level is 4.3 states/eV per cell. For the volume, the calculation gives 205.7 Å³/cell.

---

[5]
Sr3SbP2Pt9: optimized geometry, GGA-PBE.

The structure belongs to space group P-3m1 (No. 164); the cell edges are 6.4679, 6.4679 and 8.9718 Å and the angles 90.00°, 90.00° and 120.00°. Symmetry generates all atoms from Sr at (0.0000, 0.0000, 0.0000), Sr at (0.3333, 0.6667, 0.6621), Sb at (0.0000, 0.0000, 0.5000), P at (0.3333, 0.6667, 0.1697), Pt at (0.0000, 0.5000, 0.0000) and Pt at (0.1498, 0.2996, 0.2742).

Its crystal system is trigonal. The calculation puts the total magnetization at 0.0 μB/f.u. The value obtained for the uncorrected energy is -5.57 eV/atom. The value obtained for the density of states at the Fermi level is 7.0 states/eV per cell. For the volume, the calculation gives 325.0 Å³/cell.

---

[6]
Li3MnPb: optimized geometry, GGA-PBE.

The structure belongs to space group Pm-3m (No. 221); the cell edges are 5.1054, 5.1054 and 5.1054 Å and the angles 90.00°, 90.00° and 90.00°. Symmetry generates all atoms from Li at (0.0000, 0.0000, 0.5000), Mn at (0.5000, 0.5000, 0.5000) and Pb at (0.0000, 0.0000, 0.0000).

The calculation puts the energy above the most stable polymorph in this dataset at 0 meV per atom. Its crystal system is cubic. The calculation puts the total magnetization at 5.1 μB/f.u. The value obtained for the density of states at the Fermi level is 2.0 states/eV per cell. For the volume, the calculation gives 133.1 Å³/cell.

---

[7]
FeCoW2: optimized geometry, GGA-PBE.

The structure belongs to space group P4/mmm (No. 123); the cell edges are 3.8175, 3.8175 and 3.6348 Å and the angles 90.00°, 90.00° and 90.00°. Symmetry generates all atoms from Fe at (0.0000, 0.0000, 0.0000), Co at (0.5000, 0.5000, 0.0000) and W at (0.0000, 0.5000, 0.5000).

The calculation puts the energy above the most stable polymorph in this dataset at 4 meV per atom. Its crystal system is tetragonal. The calculation puts the total magnetization at 0.0 μB/f.u. The value obtained for the density of states at the Fermi level is 4.5 states/eV per cell. For the volume, the calculation gives 53.0 Å³/cell.

---

[8]
ZrAl2Se: optimized geometry, GGA-PBE.

The structure belongs to space group P4mm (No. 99); the cell edges are 3.3786, 3.3786 and 6.9647 Å and the angles 90.00°, 90.00° and 90.00°. Symmetry generates all atoms from Zr at (0.0000, 0.0000, 0.0000), Al at (0.0000, 0.0000, 0.4998), Al at (0.5000, 0.5000, 0.2800) and Se at (0.5000, 0.5000, 0.8113).

Its crystal system is tetragonal. The calculation puts the total magnetization at 0.0 μB/f.u. The value obtained for the uncorrected energy is -5.26 eV/atom. The value obtained for the density of states at the Fermi level is 1.5 states/eV per cell. For the volume, the calculation gives 79.5 Å³/cell.

---

[9]
Cu3Au2: optimized geometry, GGA-PBE.

The structure belongs to space group I4/mmm (No. 139); the cell edges are 2.8179, 2.8179 and 18.2507 Å and the angles 90.00°, 90.00° and 90.00°. Symmetry generates all atoms from Cu at (0.0000, 0.0000, 0.0000), Cu at (0.0000, 0.0000, 0.2072) and Au at (0.0000, 0.0000, 0.3965).

The calculation puts the energy above the most stable polymorph in this dataset at 7 meV per atom. Its crystal system is tetragonal. The calculation puts the total magnetization at 0.0 μB/f.u. The value obtained for the density of states at the Fermi level is 2.4 states/eV per cell. For the volume, the calculation gives 144.9 Å³/cell.

---

[10]
LaHfOF2: optimized geometry, GGA-PBE.

The structure belongs to space group P4/mmm (No. 123); the cell edges are 4.4460, 4.4460 and 4.1277 Å and the angles 90.00°, 90.00° and 90.00°. Symmetry generates all atoms from La at (0.0000, 0.0000, 0.0000), Hf at (0.5000, 0.5000, 0.5000), O at (0.5000, 0.5000, 0.0000) and F at (0.0000, 0.5000, 0.5000).

The calculation puts the energy above the most stable polymorph in this dataset at 0 meV per atom. Its crystal system is tetragonal. The calculation puts the total magnetization at 2.7 μB/f.u. The value obtained for the density of states at the Fermi level is 3.7 states/eV per cell. For the volume, the calculation gives 81.6 Å³/cell.

---

[11]
NdErTh2: optimized geometry, GGA-PBE.

The structure belongs to space group P4/mmm (No. 123); the cell edges are 5.0191, 5.0191 and 5.1562 Å and the angles 90.00°, 90.00° and 90.00°. Symmetry generates all atoms from Nd at (0.0000, 0.0000, 0.0000), Er at (0.5000, 0.5000, 0.0000) and Th at (0.0000, 0.5000, 0.5000).

The calculation puts the energy above the most stable polymorph in this dataset at 37 meV per atom. Its crystal system is tetragonal. The calculation puts the total magnetization at 0.0 μB/f.u. The value obtained for the density of states at the Fermi level is 6.2 states/eV per cell. For the volume, the calculation gives 129.9 Å³/cell.

---

[12]
RbBe3Zn: optimized geometry, GGA-PBE.

The structure belongs to space group Pm-3m (No. 221); the cell edges are 4.5302, 4.5302 and 4.5302 Å and the angles 90.00°, 90.00° and 90.00°. Symmetry generates all atoms from Rb at (0.0000, 0.0000, 0.0000), Be at (0.0000, 0.5000, 0.5000) and Zn at (0.5000, 0.5000, 0.5000).

The calculation puts the energy above the most stable polymorph in this dataset at 0 meV per atom. Its crystal system is cubic. The calculation puts the total magnetization at 0.0 μB/f.u. The value obtained for the density of states at the Fermi level is 1.6 states/eV per cell. For the volume, the calculation gives 93.0 Å³/cell.